Entry 1:
## PbCl (GGA-PBE)

Data for a geometry-optimized PbCl structure.

The structure in POSCAR format:
```
PbCl
1.0
3.5401 0.0000 0.0000
0.0000 4.7858 0.0000
-1.7705 0.0000 3.2654
Pb Cl
1 1
direct
0.0000 0.0000 0.0000
0.2530 0.5000 0.5175
```

Properties
The electronic total energy is -3.427 eV/atom. The magnetization comes out at 0.00 μB per atom. The crystal system is monoclinic. Its density of states at the Fermi level is 0.3948 states/eV per atom. Its uncorrected formation energy is -0.650 eV per atom.


Entry 2:
## ReRu3 (GGA-PBE)

Data for a geometry-optimized ReRu3 structure.

The structure in POSCAR format:
```
ReRu3
1.0
2.7435 0.0000 0.0000
-1.3717 2.3759 0.0000
0.0000 0.0000 8.6838
Re Ru
1 3
direct
0.0000 0.0000 0.0000
0.0000 0.0000 0.5000
0.3333 0.6667 0.2505
0.3333 0.6667 0.7495
```

Properties
The electronic total energy is -10.097 eV/atom. The magnetization comes out at 0.00 μB per atom. Its formation energy is -28 meV/atom. The crystal system is hexagonal. Its density of states at the Fermi level is 1.1234 states/eV per atom.


Entry 3:
## ScPb3 (GGA-PBE)

Data for a geometry-optimized ScPb3 structure.

The structure in POSCAR format:
```
ScPb3
1.0
2.3523 -2.5293 0.0000
2.3523 2.5293 0.0000
0.0000 0.0000 9.5541
Sc Pb
1 3
direct
0.0000 0.0000 0.0000
0.0000 0.0000 0.5000
0.5000 0.5000 0.2242
0.5000 0.5000 0.7758
```

Properties
The electronic total energy is -4.453 eV/atom. The magnetization comes out at 0.08 μB per atom. Its formation energy is -89 meV/atom. The crystal system is orthorhombic. Its density of states at the Fermi level is 0.6731 states/eV per atom.


Entry 4:
## RbBrF2 (GGA-PBE)

Data for a geometry-optimized RbBrF2 structure.

The structure in POSCAR format:
```
RbBrF2
1.0
4.6066 0.0000 0.0000
-2.3033 3.9894 0.0000
0.0000 0.0000 12.4011
Rb Br F
2 2 4
direct
0.0000 0.0000 0.0000
0.0000 0.0000 0.5000
0.3333 0.6667 0.2500
0.6667 0.3333 0.7500
0.3333 0.6667 0.0885
0.3333 0.6667 0.4115
0.6667 0.3333 0.5885
0.6667 0.3333 0.9115
```

Properties
The electronic total energy is -3.373 eV/atom. The magnetization comes out at 0.00 μB per atom. The crystal system is hexagonal. Its density of states at the Fermi level is 0.0000 states/eV per atom. Its uncorrected formation energy is -1.778 eV per atom.


Entry 5:
## Pr2HoCu2 (GGA-PBE)

Data for a geometry-optimized Pr2HoCu2 structure.

The structure in POSCAR format:
```
Pr2HoCu2
1.0
5.9971 -2.3316 0.0000
5.9971 2.3316 0.0000
-5.5407 0.0000 9.0265
Pr Ho Cu
4 2 4
direct
0.0352 0.0352 0.1917
0.1795 0.1795 0.5902
0.8205 0.8205 0.4098
0.9648 0.9648 0.8083
0.3003 0.3003 0.1440
0.6997 0.6997 0.8560
0.3759 0.3759 0.9349
0.4583 0.4583 0.5903
0.5417 0.5417 0.4097
0.6241 0.6241 0.0651
```

Properties
The electronic total energy is -4.565 eV/atom. The magnetization comes out at 0.00 μB per atom. Its formation energy is -100 meV/atom. The crystal system is monoclinic. Its density of states at the Fermi level is 0.9565 states/eV per atom.


Entry 6:
## Na3LaTc (GGA-PBE)

Data for a geometry-optimized Na3LaTc structure.

The structure in POSCAR format:
```
Na3LaTc
1.0
5.8509 0.0000 0.0000
0.0000 5.6526 0.0000
-2.1473 0.0000 8.8209
Na La Tc
6 2 2
direct
0.0396 0.2500 0.1103
0.4422 0.0044 0.8037
0.4422 0.4956 0.8037
0.5578 0.5044 0.1963
0.5578 0.9956 0.1963
0.9604 0.7500 0.8897
0.1565 0.7500 0.4208
0.8435 0.2500 0.5792
0.4389 0.2500 0.4886
0.5611 0.7500 0.5114
```

Properties
The electronic total energy is -3.578 eV/atom. The magnetization comes out at 0.00 μB per atom. Its formation energy is 272 meV/atom. The crystal system is monoclinic. Its density of states at the Fermi level is 0.4460 states/eV per atom.


- The lowest electronic total energy belongs to which entry?
  ReRu3


- What is the formula in the second record?
  ReRu3


- magnetization of number 5 (Pr2HoCu2)?
  0.00 μB per atom